[1]
This record from Alexandria via LeMat-Bulk describes LiNdYPd after structural relaxation. The functional is GGA-PBE.

Cell: 5.124 5.124 5.124 Å, 60.00 60.00 60.00°
Sites, in units of the cell vectors:
1 Y 0.750 0.750 0.750
2 Li 0.500 0.500 0.500
3 Nd 0.250 0.250 0.250
4 Pd 0.000 0.000 0.000

Fermi-level density of states = 2.94 states/eV/f.u.
DFT formation energy = -0.360 eV/atom
Symmetry = No. 216


[2]
This record from Alexandria via LeMat-Bulk describes Sr2Ru2I after structural relaxation. The functional is GGA-PBE.

Cell: 3.754 3.754 10.102 Å, 79.29 79.29 90.00°
Sites, in units of the cell vectors:
1 Sr 0.625 0.625 0.750
2 Sr 0.375 0.375 0.250
3 Ru 0.750 0.250 0.500
4 Ru 0.250 0.750 0.500
5 I 0.000 0.000 0.000

Fermi-level density of states = 5.04 states/eV/f.u.
Excess energy over the best structure of this formula in the dataset = 0 meV per atom
Symmetry = No. 139


[3]
This record from Alexandria via LeMat-Bulk describes Zr2TlTeO8 after structural relaxation. The functional is GGA-PBE.

Cell: 4.950 4.948 6.715 Å, 90.00 90.00 90.20°
Sites, in units of the cell vectors:
1 O 0.318 0.317 0.500
2 O 0.197 0.802 0.776
3 O 0.682 0.683 0.500
4 O 0.300 0.300 0.000
5 O 0.197 0.802 0.224
6 O 0.803 0.198 0.776
7 O 0.700 0.700 0.000
8 O 0.803 0.198 0.224
9 Te 0.000 0.000 0.000
10 Zr 0.500 0.500 0.749
11 Zr 0.500 0.500 0.251
12 Tl 0.000 0.000 0.500

Fermi-level density of states = 2.54 states/eV/f.u.
Total energy = -7.207 eV/atom
Symmetry = No. 65


[4]
This record from Alexandria via LeMat-Bulk describes YZr2Ru after structural relaxation. The functional is GGA-PBE.

Cell: 3.475 4.802 5.078 Å, 90.00 90.00 90.00°
Sites, in units of the cell vectors:
1 Zr 0.000 0.000 0.000
2 Zr 0.500 0.500 0.000
3 Y 0.000 0.500 0.500
4 Ru 0.500 0.000 0.500

Fermi-level density of states = 4.17 states/eV/f.u.
Excess energy over the best structure of this formula in the dataset = 268 meV per atom
DFT formation energy = -0.001 eV/atom
Symmetry = No. 47


[5]
This record from Alexandria via LeMat-Bulk describes Be2HgTe after structural relaxation. The functional is GGA-PBE.

Cell: 6.603 6.603 6.603 Å, 148.25 148.88 45.05°
Sites, in units of the cell vectors:
1 Te 0.742 0.242 0.500
2 Be 0.189 0.689 0.500
3 Be 0.076 0.076 0.000
4 Hg 0.493 0.493 0.000

Fermi-level density of states = 1.16 states/eV/f.u.
Excess energy over the best structure of this formula in the dataset = 88 meV per atom
Symmetry = No. 44


[6]
This record from Alexandria via LeMat-Bulk describes Mn4FeCu after structural relaxation. The functional is GGA-PBE.

Cell: 4.611 4.611 4.611 Å, 60.00 60.00 60.00°
Sites, in units of the cell vectors:
1 Mn 0.375 0.874 0.375
2 Mn 0.375 0.375 0.375
3 Mn 0.874 0.375 0.375
4 Mn 0.375 0.375 0.874
5 Cu 0.750 0.750 0.750
6 Fe 0.000 0.000 0.000

Fermi-level density of states = 8.77 states/eV/f.u.
DFT formation energy = 0.305 eV/atom
Symmetry = No. 216


[7]
This record from Alexandria via LeMat-Bulk describes K2ScNi after structural relaxation. The functional is GGA-PBE.

Cell: 3.569 6.400 7.374 Å, 115.84 104.01 90.01°
Sites, in units of the cell vectors:
1 Sc 0.562 0.633 0.991
2 Ni 0.187 0.755 0.240
3 K 0.736 0.304 0.334
4 K 0.913 0.985 0.694

Fermi-level density of states = 2.38 states/eV/f.u.
Excess energy over the best structure of this formula in the dataset = 444 meV per atom
DFT formation energy = 0.414 eV/atom
Symmetry = No. 1


[8]
This record from Alexandria via LeMat-Bulk describes NaMn2InSe4 after structural relaxation. The functional is GGA-PBE.

Cell: 7.011 7.395 8.794 Å, 90.00 90.00 90.00°
Sites, in units of the cell vectors:
1 In 0.000 0.181 0.000
2 In 0.500 0.819 0.500
3 Se 0.876 0.794 0.500
4 Se 0.861 0.347 0.238
5 Se 0.861 0.347 0.762
6 Se 0.361 0.653 0.262
7 Se 0.910 0.834 0.000
8 Se 0.361 0.653 0.738
9 Se 0.410 0.166 0.500
10 Se 0.376 0.206 0.000
11 Na 0.499 0.836 0.000
12 Na 0.999 0.164 0.500
13 Mn 0.997 0.665 0.752
14 Mn 0.497 0.335 0.748
15 Mn 0.497 0.335 0.252
16 Mn 0.997 0.665 0.248

Total energy = -5.146 eV/atom
Symmetry = No. 31


Number 1: total magnetic moment 0.0 μB/f.u.. Number 2: total magnetic moment 0.6 μB/f.u.. Number 3: total magnetic moment 0.0 μB/f.u.. Number 4: total magnetic moment 0.0 μB/f.u.. Number 5: total magnetic moment 0.0 μB/f.u.. Number 6: total magnetic moment 0.1 μB/f.u.. Number 7: total magnetic moment 0.0 μB/f.u.. Number 8: total magnetic moment 10.0 μB/f.u..